(1)
# GeSbSe2

A crystal of GeSbSe2 relaxed with PBEsol (SCAN, Alexandria via LeMat-Bulk).

## Properties
uncorrected formation energy	0.198	eV per atom
uncorrected energy	-23.93	eV/atom
space-group type	Fm-3m (225)

Cell lengths 6.9786, 6.9786, 6.9786 Å; angles 90.00, 90.00, 90.00 degrees
Fractional positions:
Ge 0.0000 0.0000 0.0000
Ge 0.0000 0.5000 0.5000
Ge 0.5000 0.0000 0.5000
Ge 0.5000 0.5000 0.0000
Sb 0.0000 0.0000 0.5000
Sb 0.0000 0.5000 0.0000
Sb 0.5000 0.0000 0.0000
Sb 0.5000 0.5000 0.5000
Se 0.2500 0.2500 0.2500
Se 0.2500 0.2500 0.7500
Se 0.2500 0.7500 0.2500
Se 0.2500 0.7500 0.7500
Se 0.7500 0.2500 0.2500
Se 0.7500 0.2500 0.7500
Se 0.7500 0.7500 0.2500
Se 0.7500 0.7500 0.7500

(2)
# SnPdC3

A crystal of SnPdC3 relaxed with PBEsol (SCAN, Alexandria via LeMat-Bulk).

## Properties
uncorrected energy	-17.20	eV/atom
space-group type	Pm-3m (221)
E above lowest polymorph	0	meV per atom
energy of formation	2.596	eV per atom

Cell lengths 4.0383, 4.0383, 4.0383 Å; angles 90.00, 90.00, 90.00 degrees
Fractional positions:
Sn 0.0000 0.0000 0.0000
Pd 0.5000 0.5000 0.5000
C 0.0000 0.5000 0.5000
C 0.5000 0.0000 0.5000
C 0.5000 0.5000 0.0000

(3)
# CdH2RhBr

A crystal of CdH2RhBr relaxed with PBEsol (SCAN, Alexandria via LeMat-Bulk).

## Properties
uncorrected energy	-17.38	eV/atom
space-group type	P4/mmm (123)

Cell lengths 3.7360, 3.7360, 5.0978 Å; angles 90.00, 90.00, 90.00 degrees
Fractional positions:
Cd 0.0000 0.0000 0.0000
H 0.0000 0.5000 0.5000
H 0.5000 0.0000 0.5000
Rh 0.5000 0.5000 0.0000
Br 0.5000 0.5000 0.5000

(4)
# PRh

A crystal of PRh relaxed with PBEsol (SCAN, Alexandria via LeMat-Bulk).

## Properties
uncorrected energy	-22.50	eV/atom
space-group type	Cmcm (63)
energy of formation	-0.413	eV per atom

Cell lengths 3.0043, 10.2723, 3.5167 Å; angles 90.00, 90.00, 90.00 degrees
Fractional positions:
P 0.0000 0.1644 0.2500
P 0.0000 0.8356 0.7500
P 0.5000 0.3356 0.7500
P 0.5000 0.6644 0.2500
Rh 0.0000 0.3958 0.2500
Rh 0.0000 0.6042 0.7500
Rh 0.5000 0.1042 0.7500
Rh 0.5000 0.8958 0.2500

(5)
# La2Cd2In

A crystal of La2Cd2In relaxed with PBEsol (SCAN, Alexandria via LeMat-Bulk).

## Properties
uncorrected energy	-36.58	eV/atom
space-group type	P4/mbm (127)
energy of formation	-0.495	eV per atom

Cell lengths 7.5104, 7.5104, 4.9016 Å; angles 90.00, 90.00, 90.00 degrees
Fractional positions:
La 0.1711 0.3289 0.0000
La 0.3289 0.8289 0.0000
La 0.6711 0.1711 0.0000
La 0.8289 0.6711 0.0000
Cd 0.1321 0.6321 0.5000
Cd 0.3679 0.1321 0.5000
Cd 0.6321 0.8679 0.5000
Cd 0.8679 0.3679 0.5000
In 0.0000 0.0000 0.5000
In 0.5000 0.5000 0.5000

(6)
# V3Ru

A crystal of V3Ru relaxed with PBEsol (SCAN, Alexandria via LeMat-Bulk).

## Properties
uncorrected energy	-22.20	eV/atom
space-group type	Fm-3m (225)
energy of formation	-0.374	eV per atom

Cell lengths 5.9050, 5.9050, 5.9050 Å; angles 90.00, 90.00, 90.00 degrees
Fractional positions:
V 0.0000 0.0000 0.0000
V 0.0000 0.5000 0.5000
V 0.2500 0.2500 0.2500
V 0.2500 0.2500 0.7500
V 0.2500 0.7500 0.2500
V 0.2500 0.7500 0.7500
V 0.5000 0.0000 0.5000
V 0.5000 0.5000 0.0000
V 0.7500 0.2500 0.2500
V 0.7500 0.2500 0.7500
V 0.7500 0.7500 0.2500
V 0.7500 0.7500 0.7500
Ru 0.0000 0.0000 0.5000
Ru 0.0000 0.5000 0.0000
Ru 0.5000 0.0000 0.0000
Ru 0.5000 0.5000 0.5000

(7)
# Dy11Sn10

A crystal of Dy11Sn10 relaxed with PBEsol (SCAN, Alexandria via LeMat-Bulk).

## Properties
uncorrected energy	-42.99	eV/atom
space-group type	I4/mmm (139)
energy of formation	-0.845	eV per atom

Cell lengths 11.6553, 11.6553, 11.6553 Å; angles 121.09, 121.09, 88.12 degrees
Fractional positions:
Dy 0.0602 0.3114 0.7488
Dy 0.1022 0.4336 0.3315
Dy 0.1022 0.7707 0.6685
Dy 0.1677 0.1677 0.0000
Dy 0.2293 0.8978 0.3315
Dy 0.3114 0.0602 0.7488
Dy 0.3114 0.5627 0.2512
Dy 0.3263 0.3263 0.6526
Dy 0.3263 0.6737 0.0000
Dy 0.4336 0.1022 0.3315
Dy 0.4373 0.6886 0.7488
Dy 0.5627 0.3114 0.2512
Dy 0.5664 0.8978 0.6685
Dy 0.6737 0.3263 0.0000
Dy 0.6737 0.6737 0.3474
Dy 0.6886 0.4373 0.7488
Dy 0.6886 0.9398 0.2512
Dy 0.7707 0.1022 0.6685
Dy 0.8323 0.8323 0.0000
Dy 0.8978 0.2293 0.3315
Dy 0.8978 0.5664 0.6685
Dy 0.9398 0.6886 0.2512
Sn 0.0302 0.0302 0.4115
Sn 0.0302 0.6186 0.0000
Sn 0.1299 0.1299 0.2598
Sn 0.1299 0.8701 0.0000
Sn 0.1442 0.5000 0.6442
Sn 0.2500 0.7500 0.5000
Sn 0.3814 0.3814 0.4115
Sn 0.3814 0.9698 0.0000
Sn 0.3888 0.3888 0.0000
Sn 0.5000 0.1442 0.6442
Sn 0.5000 0.8558 0.3558
Sn 0.6112 0.6112 0.0000
Sn 0.6186 0.0302 0.0000
Sn 0.6186 0.6186 0.5885
Sn 0.7500 0.2500 0.5000
Sn 0.8558 0.5000 0.3558
Sn 0.8701 0.1299 0.0000
Sn 0.8701 0.8701 0.7402
Sn 0.9698 0.3814 0.0000
Sn 0.9698 0.9698 0.5885

(8)
# ZrPb2O2

A crystal of ZrPb2O2 relaxed with PBEsol (SCAN, Alexandria via LeMat-Bulk).

## Properties
uncorrected formation energy	0.231	eV per atom
uncorrected energy	-38.71	eV/atom
space-group type	I4/mmm (139)
E above lowest polymorph	524	meV per atom

Cell lengths 3.9674, 3.9674, 11.8670 Å; angles 90.00, 90.00, 90.00 degrees
Fractional positions:
Zr 0.0000 0.0000 0.0000
Zr 0.5000 0.5000 0.5000
Pb 0.0000 0.5000 0.2500
Pb 0.0000 0.5000 0.7500
Pb 0.5000 0.0000 0.2500
Pb 0.5000 0.0000 0.7500
O 0.0000 0.0000 0.3989
O 0.0000 0.0000 0.6011
O 0.5000 0.5000 0.1011
O 0.5000 0.5000 0.8989

(9)
# Co3SiGe2

A crystal of Co3SiGe2 relaxed with PBEsol (SCAN, Alexandria via LeMat-Bulk).

## Properties
uncorrected formation energy	-0.240	eV per atom
uncorrected energy	-16.92	eV/atom
space-group type	P1 (1)

Cell lengths 4.5033, 4.5068, 13.5144 Å; angles 90.38, 90.19, 90.20 degrees
Fractional positions:
Co 0.0000 0.0000 0.0000
Co 0.0008 0.0014 0.6630
Co 0.0015 0.9956 0.3262
Co 0.2812 0.5074 0.0692
Co 0.2856 0.5036 0.7346
Co 0.2878 0.5024 0.3994
Co 0.4972 0.7890 0.9028
Co 0.4991 0.7877 0.5677
Co 0.5016 0.7888 0.2314
Co 0.7757 0.2791 0.8275
Co 0.7768 0.2776 0.4915
Co 0.7822 0.2782 0.1606
Si 0.4794 0.9829 0.7280
Si 0.4808 0.9801 0.0636
Si 0.4809 0.9812 0.3925
Si 0.9814 0.8049 0.1660
Ge 0.2985 0.2989 0.8961
Ge 0.2987 0.2990 0.2268
Ge 0.3005 0.2982 0.5606
Ge 0.7952 0.4858 0.0031
Ge 0.7965 0.4835 0.6681
Ge 0.7991 0.4830 0.3322
Ge 0.9799 0.8032 0.8346
Ge 0.9810 0.8015 0.4989

(10)
# NiMoH2

A crystal of NiMoH2 relaxed with PBEsol (SCAN, Alexandria via LeMat-Bulk).

## Properties
uncorrected energy	-13.98	eV/atom
space-group type	Fm-3m (225)
E above lowest polymorph	396	meV per atom

Cell lengths 4.9793, 4.9793, 4.9793 Å; angles 90.00, 90.00, 90.00 degrees
Fractional positions:
Ni 0.0000 0.0000 0.0000
Ni 0.0000 0.5000 0.5000
Ni 0.5000 0.0000 0.5000
Ni 0.5000 0.5000 0.0000
Mo 0.0000 0.0000 0.5000
Mo 0.0000 0.5000 0.0000
Mo 0.5000 0.0000 0.0000
Mo 0.5000 0.5000 0.5000
H 0.2500 0.2500 0.2500
H 0.2500 0.2500 0.7500
H 0.2500 0.7500 0.2500
H 0.2500 0.7500 0.7500
H 0.7500 0.2500 0.2500
H 0.7500 0.2500 0.7500
H 0.7500 0.7500 0.2500
H 0.7500 0.7500 0.7500

(11)
# ZrHgSb2

A crystal of ZrHgSb2 relaxed with PBEsol (SCAN, Alexandria via LeMat-Bulk).

## Properties
uncorrected formation energy	0.024	eV per atom
uncorrected energy	-43.32	eV/atom
space-group type	I-42d (122)

Cell lengths 6.4915, 6.4915, 12.9127 Å; angles 90.00, 90.00, 90.00 degrees
Fractional positions:
Zr 0.0000 0.0000 0.0000
Zr 0.0000 0.5000 0.2500
Zr 0.5000 0.0000 0.7500
Zr 0.5000 0.5000 0.5000
Hg 0.0000 0.0000 0.5000
Hg 0.0000 0.5000 0.7500
Hg 0.5000 0.0000 0.2500
Hg 0.5000 0.5000 0.0000
Sb 0.2471 0.2500 0.1250
Sb 0.2500 0.7471 0.3750
Sb 0.2500 0.7529 0.8750
Sb 0.2529 0.2500 0.6250
Sb 0.7471 0.7500 0.6250
Sb 0.7500 0.2471 0.8750
Sb 0.7500 0.2529 0.3750
Sb 0.7529 0.7500 0.1250

(12)
# TaMoW

A crystal of TaMoW relaxed with PBEsol (SCAN, Alexandria via LeMat-Bulk).

## Properties
uncorrected energy	-56.25	eV/atom
space-group type	F-43m (216)
E above lowest polymorph	965	meV per atom
energy of formation	0.806	eV per atom

Cell lengths 6.1217, 6.1217, 6.1217 Å; angles 90.00, 90.00, 90.00 degrees
Fractional positions:
Ta 0.0000 0.0000 0.0000
Ta 0.0000 0.5000 0.5000
Ta 0.5000 0.0000 0.5000
Ta 0.5000 0.5000 0.0000
Mo 0.0000 0.0000 0.5000
Mo 0.0000 0.5000 0.0000
Mo 0.5000 0.0000 0.0000
Mo 0.5000 0.5000 0.5000
W 0.2500 0.2500 0.7500
W 0.2500 0.7500 0.2500
W 0.7500 0.2500 0.2500
W 0.7500 0.7500 0.7500

(13)
# FeMoP2

A crystal of FeMoP2 relaxed with PBEsol (SCAN, Alexandria via LeMat-Bulk).

## Properties
uncorrected energy	-18.48	eV/atom
space-group type	C2/m (12)
energy of formation	-0.030	eV per atom

Cell lengths 7.0105, 2.9149, 4.9394 Å; angles 90.00, 102.26, 90.00 degrees
Fractional positions:
Fe 0.0000 0.0000 0.0000
Fe 0.5000 0.5000 0.0000
Mo 0.0000 0.5000 0.5000
Mo 0.5000 0.0000 0.5000
P 0.2446 0.5000 0.2110
P 0.2554 0.0000 0.7890
P 0.7446 0.0000 0.2110
P 0.7554 0.5000 0.7890

(14)
# TbP2Pd2

A crystal of TbP2Pd2 relaxed with PBEsol (SCAN, Alexandria via LeMat-Bulk).

## Properties
uncorrected energy	-27.64	eV/atom
space-group type	I4/mmm (139)
energy of formation	-1.021	eV per atom

Cell lengths 4.0408, 4.0408, 9.8044 Å; angles 90.00, 90.00, 90.00 degrees
Fractional positions:
Tb 0.0000 0.0000 0.0000
Tb 0.5000 0.5000 0.5000
P 0.0000 0.0000 0.3885
P 0.0000 0.0000 0.6115
P 0.5000 0.5000 0.1115
P 0.5000 0.5000 0.8885
Pd 0.0000 0.5000 0.2500
Pd 0.0000 0.5000 0.7500
Pd 0.5000 0.0000 0.2500
Pd 0.5000 0.0000 0.7500

(15)
# KSbAu

A crystal of KSbAu relaxed with PBEsol (SCAN, Alexandria via LeMat-Bulk).

## Properties
uncorrected formation energy	-0.075	eV per atom
uncorrected energy	-38.32	eV/atom
space-group type	Imm2 (44)
E above lowest polymorph	461	meV per atom

Cell lengths 3.2256, 5.2974, 9.1992 Å; angles 90.00, 90.00, 90.00 degrees
Fractional positions:
K 0.0000 0.0000 0.0000
K 0.5000 0.5000 0.5000
Sb 0.0000 0.0000 0.6528
Sb 0.5000 0.5000 0.1528
Au 0.0000 0.0000 0.3603
Au 0.5000 0.5000 0.8603

(16)
# Ca2YAl

A crystal of Ca2YAl relaxed with PBEsol (SCAN, Alexandria via LeMat-Bulk).

## Properties
uncorrected energy	-13.74	eV/atom
space-group type	F-43m (216)
energy of formation	-0.013	eV per atom

Cell lengths 7.6581, 7.6581, 7.6581 Å; angles 90.00, 90.00, 90.00 degrees
Fractional positions:
Ca 0.0000 0.0000 0.0000
Ca 0.0000 0.5000 0.5000
Ca 0.2500 0.2500 0.2500
Ca 0.2500 0.7500 0.7500
Ca 0.5000 0.0000 0.5000
Ca 0.5000 0.5000 0.0000
Ca 0.7500 0.2500 0.7500
Ca 0.7500 0.7500 0.2500
Y 0.2500 0.2500 0.7500
Y 0.2500 0.7500 0.2500
Y 0.7500 0.2500 0.2500
Y 0.7500 0.7500 0.7500
Al 0.0000 0.0000 0.5000
Al 0.0000 0.5000 0.0000
Al 0.5000 0.0000 0.0000
Al 0.5000 0.5000 0.5000

(17)
# PrSiOs2C

A crystal of PrSiOs2C relaxed with PBEsol (SCAN, Alexandria via LeMat-Bulk).

## Properties
uncorrected formation energy	-0.542	eV per atom
uncorrected energy	-41.98	eV/atom
space-group type	Cmcm (63)

Cell lengths 5.8687, 5.8687, 7.1407 Å; angles 90.00, 90.00, 140.50 degrees
Fractional positions:
Pr 0.0500 0.9500 0.7500
Pr 0.9500 0.0500 0.2500
Si 0.2294 0.7706 0.2500
Si 0.7706 0.2294 0.7500
Os 0.3333 0.6667 0.5604
Os 0.3333 0.6667 0.9396
Os 0.6667 0.3333 0.0604
Os 0.6667 0.3333 0.4396
C 0.5000 0.5000 0.0000
C 0.5000 0.5000 0.5000

(18)
# TlCd2

A crystal of TlCd2 relaxed with PBEsol (SCAN, Alexandria via LeMat-Bulk).

## Properties
uncorrected energy	-44.33	eV/atom
space-group type	I4/mmm (139)
energy of formation	0.062	eV per atom

Cell lengths 3.2624, 3.2624, 13.2728 Å; angles 90.00, 90.00, 90.00 degrees
Fractional positions:
Tl 0.0000 0.0000 0.0000
Tl 0.5000 0.5000 0.5000
Cd 0.0000 0.0000 0.3241
Cd 0.0000 0.0000 0.6759
Cd 0.5000 0.5000 0.1759
Cd 0.5000 0.5000 0.8241

(19)
# AsIrPdSe2

A crystal of AsIrPdSe2 relaxed with PBEsol (SCAN, Alexandria via LeMat-Bulk).

## Properties
uncorrected formation energy	0.778	eV per atom
uncorrected energy	-32.07	eV/atom
space-group type	P4/mmm (123)

Cell lengths 4.9413, 4.9413, 4.5458 Å; angles 90.00, 90.00, 90.00 degrees
Fractional positions:
As 0.0000 0.0000 0.0000
Ir 0.0000 0.0000 0.5000
Pd 0.5000 0.5000 0.0000
Se 0.0000 0.5000 0.5000
Se 0.5000 0.0000 0.5000

(20)
# HoSbO4

A crystal of HoSbO4 relaxed with PBEsol (SCAN, Alexandria via LeMat-Bulk).

## Properties
uncorrected formation energy	-2.654	eV per atom
uncorrected energy	-21.18	eV/atom
space-group type	P2_1/c (14)

Cell lengths 7.5360, 5.3027, 7.4552 Å; angles 90.00, 98.20, 90.00 degrees
Fractional positions:
Ho 0.1422 0.2257 0.3893
Ho 0.1422 0.2743 0.8893
Ho 0.8578 0.7257 0.1107
Ho 0.8578 0.7743 0.6107
Sb 0.3371 0.7293 0.1909
Sb 0.3371 0.7707 0.6909
Sb 0.6629 0.2293 0.3091
Sb 0.6629 0.2707 0.8091
O 0.1126 0.5179 0.1721
O 0.1126 0.9821 0.6721
O 0.1726 0.0078 0.1182
O 0.1726 0.4922 0.6182
O 0.3299 0.6130 0.9360
O 0.3299 0.8870 0.4360
O 0.4292 0.0975 0.8113
O 0.4292 0.4025 0.3113
O 0.5708 0.5975 0.6887
O 0.5708 0.9025 0.1887
O 0.6701 0.1130 0.5641
O 0.6701 0.3870 0.0640
O 0.8274 0.5078 0.3818
O 0.8274 0.9922 0.8818
O 0.8874 0.0179 0.3279
O 0.8874 0.4821 0.8279

(21)
# Ca3MoPt

A crystal of Ca3MoPt relaxed with PBEsol (SCAN, Alexandria via LeMat-Bulk).

## Properties
uncorrected energy	-26.62	eV/atom
space-group type	Pm-3m (221)
energy of formation	0.191	eV per atom

Cell lengths 5.4128, 5.4128, 5.4128 Å; angles 90.00, 90.00, 90.00 degrees
Fractional positions:
Ca 0.0000 0.0000 0.5000
Ca 0.0000 0.5000 0.0000
Ca 0.5000 0.0000 0.0000
Mo 0.5000 0.5000 0.5000
Pt 0.0000 0.0000 0.0000

(22)
# KSe2Br2

A crystal of KSe2Br2 relaxed with PBEsol (SCAN, Alexandria via LeMat-Bulk).

## Properties
uncorrected formation energy	-0.517	eV per atom
uncorrected energy	-18.00	eV/atom
space-group type	P4/mbm (127)

Cell lengths 8.5233, 8.5233, 4.3765 Å; angles 90.00, 90.00, 90.00 degrees
Fractional positions:
K 0.0000 0.0000 0.0000
K 0.5000 0.5000 0.0000
Se 0.0899 0.4101 0.0000
Se 0.4101 0.9101 0.0000
Se 0.5899 0.0899 0.0000
Se 0.9101 0.5899 0.0000
Br 0.2399 0.7399 0.5000
Br 0.2601 0.2399 0.5000
Br 0.7399 0.7601 0.5000
Br 0.7601 0.2601 0.5000